[1]
SiSb2TePt after structural relaxation, computed with GGA-PBEsol.

Unit cell a=5.101 b=5.101 c=5.401 alpha=90.00 beta=90.00 gamma=90.00
Space group P4/mmm (No. 123)
Asymmetric unit:
1 Si 0.000 0.000 0.000 (multiplicity 1)
2 Sb 0.000 0.500 0.500 (multiplicity 2)
3 Te 0.500 0.500 0.000 (multiplicity 1)
4 Pt 0.500 0.500 0.500 (multiplicity 1)

Energy relative to the elements, uncorrected ... 685 meV/atom

[2]
Be2Au after structural relaxation, computed with GGA-PBEsol.

Unit cell a=8.501 b=2.879 c=5.834 alpha=90.00 beta=110.02 gamma=90.00
Space group C2/m (No. 12)
Asymmetric unit:
1 Be 0.027 0.000 0.244 (multiplicity 4)
2 Be 0.145 0.500 0.045 (multiplicity 4)
3 Au 0.170 0.500 0.651 (multiplicity 4)

Energy relative to the elements ... -0.099 eV/atom

[3]
Cd3In2 after structural relaxation, computed with GGA-PBEsol.

Unit cell a=3.3978 b=3.3978 c=34.1061 alpha=90.00 beta=90.00 gamma=120.00
Space group R-3m (No. 166, hexagonal axes)
Asymmetric unit:
1 Cd 0.0000 0.0000 0.0000 (multiplicity 3)
2 Cd 0.0000 0.0000 0.1986 (multiplicity 6)
3 In 0.0000 0.0000 0.4004 (multiplicity 6)

Energy relative to the elements ... 0.027 eV/atom

[4]
KZn2Pb after structural relaxation, computed with GGA-PBEsol.

Unit cell a=4.990 b=4.990 c=4.007 alpha=90.00 beta=90.00 gamma=90.00
Space group P4/mmm (No. 123)
Asymmetric unit:
1 K 0.000 0.000 0.000 (multiplicity 1)
2 Zn 0.000 0.500 0.500 (multiplicity 2)
3 Pb 0.500 0.500 0.000 (multiplicity 1)

Energy relative to the elements ... 0.261 eV/atom

What did the third record say?
Cd3In2 after structural relaxation, computed with GGA-PBEsol.

Unit cell a=3.3978 b=3.3978 c=34.1061 alpha=90.00 beta=90.00 gamma=120.00
Space group R-3m (No. 166, hexagonal axes)
Asymmetric unit:
1 Cd 0.0000 0.0000 0.0000 (multiplicity 3)
2 Cd 0.0000 0.0000 0.1986 (multiplicity 6)
3 In 0.0000 0.0000 0.4004 (multiplicity 6)

Energy relative to the elements ... 0.027 eV/atom